A plane-wave DFT calculation with PBE-GGA was carried out for an optimized crystal structure of GdPu2Ga.

Calculated values
- Magnetic moment: 19.01 μB/f.u.
- E_form: -0.62 eV per formula unit
- Theoretical density: 12.0 Mg/m³
- Distance to the lowest polymorph of the same formula: 0 meV/atom
- Symmetry: P4/mmm, No. 123

Cell lengths 4.979, 4.462, 4.462 Å; angles 90.00, 90.00, 90.00 degrees
Each line ends with the local moment (μB).
Positions (direct):
Pu 0.000 0.500 0.000  5.58
Gd 0.500 0.500 0.500  7.24
Ga 0.500 0.000 0.000  -0.12
Pu 0.000 0.000 0.500  5.58